Density functional theory data (PBE) for a relaxed Ti4MnRh5 crystal.

Output
volume: 148.7 Å³/f.u.
E_form: -0.670 eV/atom
M_tot: 4.563 Bohr magnetons per cell

Unit cell a=3.1591 b=3.1591 c=14.9043 alpha=90.00 beta=90.00 gamma=90.00
Last column: nearest neighbours and their distance in Å.
Space group P4/mmm (No. 123)
Asymmetric unit:
Ti1 0.0000 0.0000 0.1007 (multiplicity 2)  8 Rh 2.69, 1 Ti 3.00
Ti2 0.0000 0.0000 0.3055 (multiplicity 2)  8 Rh 2.62-2.73, 1 Mn 2.90
Mn1 0.0000 0.0000 0.5000 (multiplicity 1)  8 Rh 2.70, 2 Ti 2.90
Rh1 0.5000 0.5000 0.0000 (multiplicity 1)  8 Ti 2.69, 2 Rh 2.99
Rh2 0.5000 0.5000 0.2008 (multiplicity 2)  8 Ti 2.69-2.73, 2 Rh 2.94-2.99
Rh3 0.5000 0.5000 0.3977 (multiplicity 2)  4 Ti 2.62, 4 Mn 2.70, 1 Rh 2.94

---

Density functional theory data (PBE) for a relaxed TiMn2VRh crystal.

Output
volume: 79.6 Å³/f.u.
E_form: 0.837 eV/atom
M_tot: 4.280 Bohr magnetons per cell

Unit cell a=4.1929 b=4.1929 c=4.5262 alpha=90.00 beta=90.00 gamma=90.00
Last column: nearest neighbours and their distance in Å.
Space group P4/mmm (No. 123)
Asymmetric unit:
Ti1 0.0000 0.0000 0.0000 (multiplicity 1)  2 V 2.26
Mn1 0.0000 0.5000 0.5000 (multiplicity 2)  2 V 2.10
V1 0.0000 0.0000 0.5000 (multiplicity 1)  4 Mn 2.10, 2 Ti 2.26
Rh1 0.5000 0.5000 0.0000 (multiplicity 1)  4 Ti 2.96, 8 Mn 3.08

---

Density functional theory data (PBE) for a relaxed TiMn2RhW crystal.

Output
volume: 90.3 Å³/f.u.
E_form: 1.575 eV/atom
M_tot: 0.005 Bohr magnetons per cell

Unit cell a=4.3706 b=4.3706 c=4.7286 alpha=90.00 beta=90.00 gamma=90.00
Last column: nearest neighbours and their distance in Å.
Space group P4/mmm (No. 123)
Asymmetric unit:
Ti1 0.0000 0.0000 0.0000 (multiplicity 1)  4 W 3.09, 8 Mn 3.22
Mn1 0.0000 0.5000 0.5000 (multiplicity 2)  2 Rh 2.19
Rh1 0.5000 0.5000 0.5000 (multiplicity 1)  4 Mn 2.19, 2 W 2.36
W1 0.5000 0.5000 0.0000 (multiplicity 1)  2 Rh 2.36

---

Density functional theory data (PBE) for a relaxed MnTl2Rh2 crystal.

Output
volume: 94.1 Å³/f.u.
E_form: 0.109 eV/atom
M_tot: 8.335 Bohr magnetons per cell

Unit cell a=6.8015 b=6.8015 c=4.0669 alpha=90.00 beta=90.00 gamma=90.00
Last column: nearest neighbours and their distance in Å.
Space group P4/mbm (No. 127)
Asymmetric unit:
Mn1 0.0000 0.0000 0.0000 (multiplicity 2)  4 Rh 2.62
Tl1 0.1665 0.3335 0.5000 (multiplicity 4)  6 Rh 2.75-2.92
Rh1 0.1409 0.6409 0.0000 (multiplicity 4)  2 Mn 2.62, 1 Rh 2.71, 6 Tl 2.75-2.92

---

Density functional theory data (PBE) for a relaxed MnTlRh4 crystal.

Output
volume: 99.1 Å³/f.u.
E_form: 0.216 eV/atom
M_tot: 20.067 Bohr magnetons per cell

Unit cell a=7.3466 b=7.3466 c=7.3466 alpha=90.00 beta=90.00 gamma=90.00
Last column: nearest neighbours and their distance in Å.
Space group F-43m (No. 216)
Asymmetric unit:
Mn1 0.0000 0.0000 0.0000 (multiplicity 4)  12 Rh 3.05, 4 Tl 3.18
Tl1 0.2500 0.2500 0.2500 (multiplicity 4)  12 Rh 3.05, 4 Mn 3.18
Rh1 0.1252 0.1252 0.6252 (multiplicity 16)  6 Rh 2.59-2.60

---

Density functional theory data (PBE) for a relaxed MnTlRh crystal.

Output
offset from the most stable computed form: 0 meV/atom
volume: 51.9 Å³/f.u.
E_form: 0.138 eV/atom
M_tot: 8.797 Bohr magnetons per cell

Unit cell a=3.3841 b=3.3841 c=9.0650 alpha=90.00 beta=90.00 gamma=90.00
Last column: nearest neighbours and their distance in Å.
Space group I4mm (No. 107)
Asymmetric unit:
Mn1 0.0000 0.0000 0.0000 (multiplicity 2)  4 Rh 2.70, 5 Tl 2.88-2.91
Tl1 0.0000 0.0000 0.3176 (multiplicity 2)  5 Mn 2.88-2.91, 5 Rh 2.90
Rh1 0.0000 0.0000 0.6374 (multiplicity 2)  4 Mn 2.70, 5 Tl 2.90